First-principles (PBE) data for an optimized crystal structure of La2NbIn2, as listed in Alexandria.

Properties
Fermi-level density of states: 10.45 states/eV per cell
total energy: -23.8 eV/f.u.
E_form: 0.33 eV/atom
energy above the most stable polymorph in this dataset: 0.347 eV per atom

Lattice parameters (Å, degrees): 4.015 4.015 19.239 90.00 90.00 90.00
Space group I4/mmm (No. 139)
Asymmetric unit:
1 La 0.000 0.000 0.093 x4
2 Nb 0.000 0.000 0.500 x2
3 In 0.000 0.500 0.250 x4